Entry from the Alexandria database: an optimized crystal structure of BaFeF5 (PBE+U).

Summary:
The crystal system is tetragonal. The density of states at the Fermi level comes out at 0.00 states/eV per atom. As for the space group: I4 (79). Its polymorph energy (0 for the lowest one) is 12 meV per atom. The total energy comes out at -5.530 eV per atom.

a b c (Å): 11.4564 11.4564 11.4564
angles (deg): 96.61 96.61 140.32
Closest atoms and distances in Å follow each position.
Atoms (fractional coordinates):
1 Ba 0.0522 0.7783 0.8309  8 F 2.59-2.86
2 Ba 0.2213 0.0522 0.2739  8 F 2.59-2.86
3 Ba 0.2540 0.5676 0.8216  9 F 2.69-2.95
4 Ba 0.4324 0.2540 0.6864  9 F 2.69-2.95
5 Ba 0.5676 0.7460 0.3136  9 F 2.69-2.95
6 Ba 0.7460 0.4324 0.1784  9 F 2.69-2.95
7 Ba 0.7783 0.9474 0.7261  8 F 2.59-2.86
8 Ba 0.9474 0.2213 0.1691  8 F 2.59-2.86
9 Fe 0.0004 0.5004 0.5000  6 F 1.94-1.95
10 Fe 0.1827 0.3326 0.5157  6 F 1.94-2.02
11 Fe 0.2524 0.2524 0.0000  6 F 1.93-1.96
12 Fe 0.3326 0.8169 0.1499  6 F 1.94-2.02
13 Fe 0.5004 0.0004 0.5000  6 F 1.94-1.95
14 Fe 0.6670 0.1827 0.8501  6 F 1.94-2.02
15 Fe 0.7482 0.7482 0.0000  6 F 1.93-1.96
16 Fe 0.8169 0.6670 0.4843  6 F 1.94-2.02
17 F 0.0003 0.0003 0.0000  2 Fe 1.96
18 F 0.0675 0.6091 0.6762  1 Fe 1.95
19 F 0.0698 0.8818 0.6115  1 Fe 1.95
20 F 0.0848 0.2239 0.6499  1 Fe 1.97
21 F 0.1173 0.4481 0.5639  2 Fe 1.95-2.02
22 F 0.1184 0.7299 0.1887  1 Fe 1.95
23 F 0.1212 0.2828 0.9211  1 Fe 1.94
24 F 0.2001 0.1212 0.8384  1 Fe 1.94
25 F 0.2239 0.5740 0.1391  1 Fe 1.97
26 F 0.2284 0.7429 0.9724  1 Fe 1.94
27 F 0.2504 0.7504 0.5000  2 Fe 1.94
28 F 0.2559 0.2284 0.4855  1 Fe 1.94
29 F 0.2703 0.4584 0.3885  1 Fe 1.95
30 F 0.2828 0.3617 0.1616  1 Fe 1.94
31 F 0.3617 0.2001 0.0789  1 Fe 1.94
32 F 0.3913 0.0675 0.4583  1 Fe 1.95
33 F 0.4257 0.5638 0.6503  1 Fe 1.97
34 F 0.4349 0.0848 0.8609  1 Fe 1.97
35 F 0.4481 0.8842 0.3308  2 Fe 1.95-2.02
36 F 0.4584 0.0698 0.1881  1 Fe 1.95
37 F 0.5004 0.5004 0.0000  2 Fe 1.93
38 F 0.5413 0.9297 0.8114  1 Fe 1.95
39 F 0.5534 0.1173 0.6692  2 Fe 1.95-2.02
40 F 0.5638 0.9135 0.1381  1 Fe 1.97
41 F 0.5740 0.4349 0.3501  1 Fe 1.97
42 F 0.6091 0.9330 0.5417  1 Fe 1.95
43 F 0.6391 0.8009 0.9214  1 Fe 1.94
44 F 0.7177 0.6391 0.8382  1 Fe 1.94
45 F 0.7299 0.5413 0.6116  1 Fe 1.95
46 F 0.7429 0.7705 0.5145  1 Fe 1.94
47 F 0.7504 0.2504 0.5000  2 Fe 1.94
48 F 0.7705 0.2559 0.0276  1 Fe 1.94
49 F 0.7754 0.4257 0.8619  1 Fe 1.97
50 F 0.8009 0.8795 0.1618  1 Fe 1.94
51 F 0.8795 0.7177 0.0786  1 Fe 1.94
52 F 0.8818 0.2703 0.8119  1 Fe 1.95
53 F 0.8842 0.5534 0.4361  2 Fe 1.95-2.02
54 F 0.9135 0.7754 0.3497  1 Fe 1.97
55 F 0.9297 0.1184 0.3884  1 Fe 1.95
56 F 0.9330 0.3913 0.3238  1 Fe 1.95